No. 1
## TaNbTe4 (PBE)

Data for an optimized crystal structure of TaNbTe4.

```
TaNbTe4
1.0
0.286 2.615 6.028
-4.142 -5.092 -0.450
7.915 -3.799 -0.888
Te Ta Nb
8 2 2
Cartesian
1.128 -3.121 0.565
0.170 -0.844 3.220
3.889 -5.432 1.471
6.125 -1.565 4.677
4.838 -1.953 1.310
-2.065 -4.711 0.013
-0.778 -4.323 3.381
2.932 -3.156 4.126
3.257 -7.743 -0.018
0.802 1.467 4.708
5.502 -3.915 3.231
-1.442 -2.361 1.459
```

## Properties
For the total energy, the calculation gives -5.94 eV/atom. Its uncorrected formation energy is -0.194 eV/atom. For the offset from the most stable computed form, the calculation gives 217 meV per atom.

=====

No. 2
## TaNb2Te (PBE)

Data for an optimized crystal structure of TaNb2Te.

```
TaNb2Te
1.0
-3.173 -2.548 -0.365
1.339 -2.128 3.221
-6.248 3.437 7.460
Nb Te Ta
4 2 2
Cartesian
-1.142 -0.806 3.830
-3.357 -0.983 2.042
-5.365 0.810 6.687
-6.300 -1.501 8.073
-2.913 -0.515 6.054
-0.917 -2.338 1.428
-5.169 -0.725 4.262
0.000 0.000 0.000
```

## Properties
For the total energy, the calculation gives -8.27 eV/atom. Its uncorrected formation energy is 0.518 eV/atom.

=====

No. 3
## Ta2NbTe4 (PBE)

Data for an optimized crystal structure of Ta2NbTe4.

```
Ta2NbTe4
1.0
3.571 0.000 0.000
0.000 6.808 -0.222
-1.786 -3.529 7.035
Te Ta Nb
4 2 1
Cartesian
0.000 4.422 1.219
0.000 2.150 4.891
1.786 1.130 1.922
1.786 -1.143 5.594
0.000 -0.587 3.540
1.786 3.866 3.273
0.000 0.000 0.000
```

## Properties
For the total energy, the calculation gives -6.91 eV/atom. Its uncorrected formation energy is -0.285 eV/atom. For the offset from the most stable computed form, the calculation gives 0 meV per atom.

=====

No. 4
## Ta2Nb3Te8 (PBE)

Data for an optimized crystal structure of Ta2Nb3Te8.

```
Ta2Nb3Te8
1.0
-4.637 1.355 4.905
0.289 -7.500 2.346
6.065 4.826 1.501
Nb Ta Te
3 2 8
Cartesian
-2.318 0.678 2.452
0.081 -2.105 0.658
0.208 -5.395 1.687
1.294 0.877 2.645
0.424 -2.196 6.107
1.922 3.322 4.317
4.508 -2.785 3.720
4.116 0.957 2.553
-0.205 -4.641 4.435
2.055 -0.130 5.397
-2.791 1.466 5.032
-2.399 -2.276 6.199
-0.338 -1.188 3.355
```

## Properties
For the total energy, the calculation gives -6.17 eV/atom. Its uncorrected formation energy is -0.093 eV/atom.

=====

No. 5
## TaNb2Te5 (PBE)

Data for an optimized crystal structure of TaNb2Te5.

```
TaNb2Te5
1.0
-1.141 2.343 -4.725
5.098 -4.688 -0.474
-8.227 -8.711 -2.332
Te Nb Ta
10 4 2
Cartesian
-3.919 -9.634 -6.911
-6.962 -8.343 -5.536
-3.527 -4.706 -4.562
-1.060 -2.224 -3.927
-0.350 -1.423 -0.621
-2.617 -3.823 -1.263
-0.743 -6.351 -2.969
2.692 -2.714 -1.995
-3.209 -8.833 -3.604
-1.653 -7.234 -6.268
-0.577 -4.637 -5.241
1.644 -2.286 -4.611
-3.693 -6.420 -2.291
-5.913 -8.771 -2.921
0.176 -3.912 -1.982
-4.446 -7.145 -5.550
```

## Properties
For the total energy, the calculation gives -6.09 eV/atom. Its uncorrected formation energy is -0.124 eV/atom. For the offset from the most stable computed form, the calculation gives 0 meV per atom.

=====

No. 6
## TaNbTe2 (PBE)

Data for an optimized crystal structure of TaNbTe2.

```
TaNbTe2
1.0
-0.574 -1.234 4.646
-3.571 1.975 2.606
-3.794 -2.693 1.339
Te Ta Nb
2 1 1
Cartesian
-5.954 -1.464 6.443
-1.985 -0.488 2.148
-3.969 -0.976 4.296
0.000 0.000 0.000
```

## Properties
For the total energy, the calculation gives -6.99 eV/atom. Its uncorrected formation energy is 0.059 eV/atom. For the offset from the most stable computed form, the calculation gives 258 meV per atom.

=====

No. 7
## TaNbTe2 (PBE)

Data for an optimized crystal structure of TaNbTe2.

```
TaNbTe2
1.0
-5.047 1.616 3.508
3.234 -1.385 5.292
1.196 6.081 4.676
Nb Te Ta
2 4 2
Cartesian
1.762 2.406 7.184
-0.906 0.115 4.400
1.720 0.847 4.894
-2.482 2.367 4.044
-0.669 4.754 11.239
0.197 4.656 6.775
0.000 0.000 0.000
-2.379 3.906 6.292
```

## Properties
For the total energy, the calculation gives -6.34 eV/atom. Its uncorrected formation energy is 0.714 eV/atom. For the offset from the most stable computed form, the calculation gives 913 meV per atom.

=====

No. 8
## TaNb3Te (PBE)

Data for an optimized crystal structure of TaNb3Te.

```
TaNb3Te
1.0
4.952 0.000 0.000
0.000 4.952 0.000
0.000 0.000 4.952
Te Nb Ta
1 3 1
Cartesian
2.476 2.476 2.476
2.476 0.000 0.000
0.000 2.476 0.000
0.000 0.000 2.476
0.000 0.000 0.000
```

## Properties
For the total energy, the calculation gives -7.77 eV/atom. Its uncorrected formation energy is 1.274 eV/atom. For the offset from the most stable computed form, the calculation gives 0 meV per atom.